No. 1
The following is a DFT calculation (GGA-PBE) of an optimized crystal structure of Na4TbTa3O12.

Values from the calculation:
- formation energy from raw total energies (meV/atom) = -2409.5
- total DFT energy (no corrections) (eV per atom) = -7.658

Lattice parameters (Å, degrees): 8.211 8.211 8.211 90.00 90.00 90.00
Space group Im-3m (No. 229)
One atom of each set of equivalent atoms:
1 Na 0.250 0.250 0.250 [8 per cell]
2 Tb 0.000 0.000 0.000 [2 per cell]
3 Ta 0.000 0.000 0.500 [6 per cell]
4 O 0.000 0.000 0.267 [12 per cell]
5 O 0.000 0.250 0.500 [12 per cell]


No. 2
The following is a DFT calculation (GGA-PBE) of an optimized crystal structure of Na3Tb3TaO8.

Values from the calculation:
- formation energy from raw total energies (meV/atom) = -2725.8
- total DFT energy (no corrections) (eV per atom) = -7.350

Lattice parameters (Å, degrees): 6.7349 6.7349 16.9536 90.00 90.00 120.00
Space group R-3m (No. 166, hexagonal axes)
One atom of each set of equivalent atoms:
1 Na 0.0000 0.5000 0.0000 [9 per cell]
2 Tb 0.0000 0.5000 0.5000 [9 per cell]
3 Ta 0.0000 0.0000 0.5000 [3 per cell]
4 O 0.0000 0.0000 0.2412 [6 per cell]
5 O 0.0373 0.5187 0.2321 [18 per cell]


No. 3
The following is a DFT calculation (GGA-PBE) of an optimized crystal structure of Na2TaTcO6.

Values from the calculation:
- formation energy from raw total energies (meV/atom) = -2069.4
- total DFT energy (no corrections) (eV per atom) = -7.530

Lattice parameters (Å, degrees): 5.567 5.567 3.923 90.00 90.00 90.00
Space group P4/mmm (No. 123)
One atom of each set of equivalent atoms:
1 Na 0.000 0.500 0.000 [2 per cell]
2 Ta 0.000 0.000 0.500 [1 per cell]
3 Tc 0.500 0.500 0.500 [1 per cell]
4 O 0.000 0.000 0.000 [1 per cell]
5 O 0.252 0.252 0.500 [4 per cell]
6 O 0.500 0.500 0.000 [1 per cell]


No. 4
The following is a DFT calculation (GGA-PBE) of an optimized crystal structure of NaTaTc2O8.

Values from the calculation:
- formation energy from raw total energies (meV/atom) = -1619.5
- total DFT energy (no corrections) (eV per atom) = -7.750

Lattice parameters (Å, degrees): 10.769 5.782 5.793 90.00 102.77 90.00
Space group C2/m (No. 12)
One atom of each set of equivalent atoms:
1 Na 0.000 0.000 0.000 [2 per cell]
2 Ta 0.000 0.500 0.500 [2 per cell]
3 Tc 0.195 0.000 0.631 [4 per cell]
4 O 0.100 0.251 0.709 [8 per cell]
5 O 0.127 0.500 0.292 [4 per cell]
6 O 0.161 0.000 0.322 [4 per cell]


No. 5
The following is a DFT calculation (GGA-PBE) of an optimized crystal structure of NaTaTcO6.

Values from the calculation:
- formation energy from raw total energies (meV/atom) = -1933.6
- total DFT energy (no corrections) (eV per atom) = -7.854

Lattice parameters (Å, degrees): 5.2675 5.2675 10.3886 90.00 90.00 120.00
Space group P-31c (No. 163)
One atom of each set of equivalent atoms:
1 Na 0.0000 0.0000 0.0000 [2 per cell]
2 Ta 0.3333 0.6667 0.2500 [2 per cell]
3 Tc 0.3333 0.6667 0.7500 [2 per cell]
4 O 0.0088 0.3837 0.6462 [12 per cell]


No. 6
The following is a DFT calculation (GGA-PBE) of an optimized crystal structure of NaTa2TeO8.

Values from the calculation:
- formation energy from raw total energies (meV/atom) = -2095.5
- total DFT energy (no corrections) (eV per atom) = -7.748

Lattice parameters (Å, degrees): 6.778 7.031 6.357 90.00 90.00 90.00
Space group Cmmm (No. 65)
One atom of each set of equivalent atoms:
1 Na 0.000 0.000 0.000 [2 per cell]
2 Ta 0.000 0.500 0.241 [4 per cell]
3 Te 0.000 0.000 0.500 [2 per cell]
4 O 0.000 0.306 0.500 [4 per cell]
5 O 0.000 0.323 0.000 [4 per cell]
6 O 0.213 0.000 0.275 [8 per cell]


No. 7
The following is a DFT calculation (GGA-PBE) of an optimized crystal structure of NaTaTeO5.

Values from the calculation:
- formation energy from raw total energies (meV/atom) = -1915.5
- total DFT energy (no corrections) (eV per atom) = -7.054

Lattice parameters (Å, degrees): 7.686 9.013 7.923 90.00 117.94 90.00
Space group C2/c (No. 15)
One atom of each set of equivalent atoms:
1 Na 0.000 0.066 0.250 [4 per cell]
2 Ta 0.250 0.250 0.000 [4 per cell]
3 Te 0.000 0.442 0.250 [4 per cell]
4 O 0.000 0.251 0.750 [4 per cell]
5 O 0.089 0.285 0.140 [8 per cell]
6 O 0.232 0.032 0.026 [8 per cell]


No. 8
The following is a DFT calculation (GGA-PBE) of an optimized crystal structure of Na2TaTiO6.

Values from the calculation:
- formation energy from raw total energies (meV/atom) = -2428.8
- total DFT energy (no corrections) (eV per atom) = -7.642

Lattice parameters (Å, degrees): 5.566 5.566 3.979 90.00 90.00 90.00
Space group P4mm (No. 99)
One atom of each set of equivalent atoms:
1 Na 0.000 0.500 0.000 [2 per cell]
2 Ta 0.000 0.000 0.523 [1 per cell]
3 Ti 0.500 0.500 0.496 [1 per cell]
4 O 0.000 0.000 0.030 [1 per cell]
5 O 0.251 0.251 0.535 [4 per cell]
6 O 0.500 0.500 0.035 [1 per cell]